No. 1
Entry from the Alexandria database: Sc2ZnTe after structural relaxation (PBE).

Lattice parameters (Å, degrees): 7.538 7.538 7.538 29.72 29.72 29.72
Sites, in units of the cell vectors:
Sc (0.004, 0.004, 0.004)
Sc (0.496, 0.496, 0.496)
Zn (0.750, 0.750, 0.750)
Te (0.250, 0.250, 0.250)

Results
The value obtained for the distance to the lowest polymorph of the same formula is 16.7 meV per atom. Its total magnetization is 0.0 μB per cell. Its space group is R-3m, No. 166. The value obtained for the calculated volume is 93.2 Å³ per cell. Its uncorrected formation energy is -0.61 eV/atom. The density comes out at 5.041 Mg/m³. The final energy is -4.88 eV per atom.

***

No. 2
Entry from the Alexandria database: NdSm5Th after structural relaxation (PBE).

Lattice parameters (Å, degrees): 5.734 5.734 7.791 90.00 90.00 90.00
Sites, in units of the cell vectors:
Sm (0.000, 0.500, 0.280)
Sm (0.500, 0.000, 0.280)
Sm (0.000, 0.500, 0.720)
Sm (0.500, 0.000, 0.720)
Sm (0.500, 0.500, 0.000)
Nd (0.000, 0.000, 0.000)
Th (0.000, 0.000, 0.500)

Results
Its total magnetization is 0.0 μB per cell. Its space group is P4/mmm, No. 123. The value obtained for the calculated volume is 256.1 Å³ per cell. The calculation puts the formation energy at 226 kJ/mol of formula units. The density comes out at 7.313 Mg/m³. The final energy is -4.78 eV per atom.

***

No. 3
Entry from the Alexandria database: Tb2Nd3S8 after structural relaxation (PBE).

Lattice parameters (Å, degrees): 6.885 8.146 8.085 120.25 107.92 90.00
Sites, in units of the cell vectors:
Tb (0.654, 0.737, 0.474)
Tb (0.346, 0.263, 0.526)
S (0.892, 0.618, 0.235)
S (0.938, 0.120, 0.241)
S (0.062, 0.880, 0.759)
S (0.418, 0.896, 0.257)
S (0.108, 0.382, 0.765)
S (0.582, 0.104, 0.743)
S (0.418, 0.361, 0.257)
S (0.582, 0.639, 0.743)
Nd (0.500, 0.000, 0.000)
Nd (0.000, 0.264, 0.000)
Nd (0.000, 0.736, 0.000)

Results
Its total magnetization is 0.0 μB per cell. Its space group is C2/m, No. 12. The value obtained for the calculated volume is 366.0 Å³ per cell. Its uncorrected formation energy is -1.82 eV/atom. The density comes out at 4.570 Mg/m³. The final energy is -6.17 eV per atom.

***

No. 4
Entry from the Alexandria database: RbCaRu2 after structural relaxation (PBE).

Lattice parameters (Å, degrees): 5.064 5.064 5.064 60.00 60.00 60.00
Sites, in units of the cell vectors:
Rb (0.500, 0.500, 0.500)
Ca (0.000, 0.000, 0.000)
Ru (0.750, 0.750, 0.750)
Ru (0.250, 0.250, 0.250)

Results
The value obtained for the distance to the lowest polymorph of the same formula is 8.3 meV per atom. Its total magnetization is 2.7 μB per cell. Its space group is Fm-3m, No. 225. The value obtained for the calculated volume is 91.8 Å³ per cell. The calculation puts the formation energy at 570 kJ/mol of formula units. The density comes out at 5.924 Mg/m³. The final energy is -3.90 eV per atom.

***

No. 5
Entry from the Alexandria database: TbDyErMg after structural relaxation (PBE).

Lattice parameters (Å, degrees): 5.484 5.484 5.484 60.00 60.00 60.00
Sites, in units of the cell vectors:
Dy (0.750, 0.750, 0.750)
Tb (0.250, 0.250, 0.250)
Er (0.500, 0.500, 0.500)
Mg (0.000, 0.000, 0.000)

Results
The value obtained for the distance to the lowest polymorph of the same formula is 66.5 meV per atom. Its total magnetization is 0.0 μB per cell. Its space group is F-43m, No. 216. The value obtained for the calculated volume is 116.6 Å³ per cell. The calculation puts the formation energy at 16 kJ/mol of formula units. The density comes out at 7.304 Mg/m³. The final energy is -3.81 eV per atom.

***

No. 6
Entry from the Alexandria database: PrDyO2 after structural relaxation (PBE).

Lattice parameters (Å, degrees): 3.468 3.468 6.294 74.01 74.01 60.00
Sites, in units of the cell vectors:
Dy (0.000, 0.000, 0.000)
Pr (0.500, 0.500, 0.500)
O (0.267, 0.267, 0.199)
O (0.733, 0.733, 0.801)

Results
The value obtained for the distance to the lowest polymorph of the same formula is 0.0 meV per atom. Its total magnetization is 0.0 μB per cell. Its space group is R-3m, No. 166. The value obtained for the calculated volume is 62.1 Å³ per cell. Its uncorrected formation energy is -2.83 eV/atom. The density comes out at 8.964 Mg/m³. The final energy is -7.66 eV per atom.

***

No. 7
Entry from the Alexandria database: Eu2HgIr after structural relaxation (PBE).

Lattice parameters (Å, degrees): 3.608 3.608 7.801 90.00 90.00 90.00
Sites, in units of the cell vectors:
Eu (0.000, 0.000, 0.214)
Eu (0.000, 0.000, 0.786)
Hg (0.500, 0.500, 0.500)
Ir (0.500, 0.500, 0.000)

Results
The value obtained for the distance to the lowest polymorph of the same formula is 0.0 meV per atom. Its total magnetization is 13.7 μB per cell. Its space group is P4/mmm, No. 123. The value obtained for the calculated volume is 101.5 Å³ per cell. The calculation puts the formation energy at -159 kJ/mol of formula units. The density comes out at 11.395 Mg/m³. The final energy is -7.84 eV per atom.

***

No. 8
Entry from the Alexandria database: CaPd2C after structural relaxation (PBE).

Lattice parameters (Å, degrees): 5.328 5.340 5.636 70.96 80.35 60.17
Sites, in units of the cell vectors:
Ca (0.731, 0.929, 0.132)
Ca (0.176, 0.717, 0.629)
Pd (0.433, 0.554, 0.151)
Pd (0.056, 0.278, 0.085)
Pd (0.842, 0.384, 0.589)
Pd (0.489, 0.049, 0.639)
C (0.705, 0.613, 0.851)
C (0.192, 0.355, 0.357)

Results
Its total magnetization is 0.0 μB per cell. Its space group is P1, No. 1. The value obtained for the calculated volume is 131.5 Å³ per cell. The calculation puts the formation energy at -34 kJ/mol of formula units. The density comes out at 6.691 Mg/m³. The final energy is -5.49 eV per atom.

***

No. 9
Entry from the Alexandria database: V2HPdRh after structural relaxation (PBE).

Lattice parameters (Å, degrees): 3.849 3.849 3.893 90.00 90.00 90.00
Sites, in units of the cell vectors:
H (0.000, 0.000, 0.000)
Rh (0.500, 0.500, 0.500)
Pd (0.000, 0.000, 0.500)
V (0.500, 0.000, 0.000)
V (0.000, 0.500, 0.000)

Results
The value obtained for the distance to the lowest polymorph of the same formula is 26.1 meV per atom. Its total magnetization is 0.0 μB per cell. Its space group is P4/mmm, No. 123. The value obtained for the calculated volume is 57.7 Å³ per cell. The density comes out at 8.991 Mg/m³. The final energy is -7.04 eV per atom.

***

No. 10
Entry from the Alexandria database: SrReSn2 after structural relaxation (PBE).

Lattice parameters (Å, degrees): 5.731 5.731 9.382 72.22 72.22 90.00
Sites, in units of the cell vectors:
Sn (0.813, 0.125, 0.250)
Sn (0.875, 0.063, 0.750)
Sn (0.375, 0.187, 0.750)
Sn (0.937, 0.625, 0.250)
Re (0.750, 0.250, 0.500)
Re (0.000, 0.000, 0.000)
Sr (0.250, 0.750, 0.500)
Sr (0.500, 0.500, 0.000)

Results
The value obtained for the distance to the lowest polymorph of the same formula is 82.4 meV per atom. Its total magnetization is 0.0 μB per cell. Its space group is I-42d, No. 122. The value obtained for the calculated volume is 277.9 Å³ per cell. The calculation puts the formation energy at 161 kJ/mol of formula units. The density comes out at 6.110 Mg/m³. The final energy is -5.12 eV per atom.

***

No. 11
Entry from the Alexandria database: La2PmHgTe5 after structural relaxation (PBE).

Lattice parameters (Å, degrees): 4.486 9.843 13.708 90.00 90.00 103.17
Sites, in units of the cell vectors:
La (0.878, 0.756, 0.183)
La (0.875, 0.749, 0.805)
La (0.122, 0.244, 0.683)
La (0.125, 0.251, 0.305)
Te (0.356, 0.713, 0.998)
Te (0.496, 0.992, 0.279)
Te (0.644, 0.287, 0.498)
Te (0.037, 0.075, 0.093)
Te (0.294, 0.588, 0.665)
Te (0.504, 0.008, 0.779)
Te (0.963, 0.925, 0.593)
Te (0.700, 0.400, 0.833)
Te (0.300, 0.600, 0.333)
Te (0.706, 0.412, 0.165)
Hg (0.562, 0.124, 0.968)
Hg (0.438, 0.876, 0.468)
Pm (0.810, 0.619, 0.501)
Pm (0.190, 0.381, 0.001)

Results
Its total magnetization is 0.0 μB per cell. Its space group is Cmc2_1, No. 36. The value obtained for the calculated volume is 589.4 Å³ per cell. Its uncorrected formation energy is -1.23 eV/atom. The density comes out at 7.108 Mg/m³. The final energy is -4.63 eV per atom.